Cd5Fe2P8O28 | PBE+U | relaxed

Cell and atoms, written as extended XYZ:
```
86
Lattice="6.727 0.008 0.000 -0.836 6.675 0.000 0.000 0.000 24.521" Properties=species:S:1:pos:R:3 pbc="T T T"
Cd 4.116 4.669 12.261
Cd 1.775 2.014 0.000
Cd 0.521 0.591 12.261
Cd 5.371 6.092 0.000
Cd 4.476 1.993 18.391
Cd 1.416 4.690 6.130
Cd 0.035 2.286 15.610
Cd 5.856 4.397 3.349
Cd 3.628 6.361 21.172
Cd 2.264 0.321 8.912
Fe 1.240 3.829 21.527
Fe 4.652 2.854 9.266
Fe 2.248 4.973 15.255
Fe 3.644 1.710 2.994
P 1.110 1.983 18.877
P 4.781 4.700 6.616
P 4.064 5.333 17.905
P 1.828 1.350 5.644
P 4.592 3.152 21.725
P 1.299 3.530 9.465
P 3.340 1.732 15.057
P 2.552 4.951 2.796
P 0.854 4.062 12.437
P 5.037 2.621 0.177
P 1.968 5.326 24.345
P 3.923 1.357 12.084
P 5.576 5.597 15.343
P 0.315 1.086 3.082
P 1.038 0.449 21.439
P 4.854 6.234 9.179
O 1.250 3.276 19.712
O 4.642 3.407 7.452
O 2.798 5.032 17.070
O 3.094 1.651 4.809
O 0.032 0.232 14.656
O 5.859 6.451 2.396
O 5.665 6.622 22.126
O 0.226 0.061 9.865
O -0.045 2.076 17.881
O 5.936 4.607 5.620
O 3.827 6.467 18.902
O 2.065 0.216 6.641
O 4.684 4.144 18.572
O 1.207 2.539 6.312
O 2.368 1.516 18.210
O 3.524 5.167 5.949
O 4.292 2.689 23.268
O 1.600 3.994 11.007
O 3.762 2.088 13.514
O 2.130 4.595 1.253
O 2.018 4.697 13.257
O 3.874 1.986 0.996
O 1.485 4.092 23.525
O 4.407 2.591 11.264
O 0.099 4.655 15.420
O 5.792 2.028 3.159
O 1.285 6.001 21.362
O 4.606 0.682 9.102
O 4.344 4.900 14.694
O 1.548 1.783 2.433
O 1.575 1.759 22.088
O 4.316 4.924 9.828
O 5.971 3.800 21.737
O -0.080 2.883 9.476
O 2.870 0.282 15.045
O 3.022 6.401 2.785
O 2.228 2.770 15.345
O 3.664 3.913 3.084
O 3.423 4.126 21.437
O 2.469 2.557 9.177
O -0.344 5.002 12.325
O 6.236 1.681 0.064
O 0.886 6.397 24.457
O 5.006 0.286 12.197
O 0.439 2.696 12.947
O 5.452 3.987 0.686
O 3.272 5.909 23.835
O 2.620 0.774 11.574
O 0.623 0.821 19.936
O 5.269 5.862 7.676
O 5.155 5.962 16.846
O 0.736 0.721 4.585
O 4.559 2.004 15.921
O 1.332 4.679 3.661
O 4.475 1.908 20.861
O 1.417 4.775 8.600
```

## Properties
Symmetry: C222_1 (20)
Uncorrected energy, eV per atom: -6.541